1.
# Pm3PrSe6, relaxed, DFT PBE-GGA
# Spin magnetization, μB per formula unit: 0.000
# Calculated total energy, eV per atom: -5.88
# Uncorrected formation energy, kJ per mole of atoms: -181.9
data_Pm3PrSe6
_cell_length_a 11.835
_cell_length_b 4.241
_cell_length_c 12.167
_cell_angle_alpha 90.00
_cell_angle_beta 108.77
_cell_angle_gamma 90.00
_symmetry_space_group_name_H-M 'P 1 21/m 1'
_symmetry_Int_Tables_number 11
_symmetry_space_group_name_Hall '-P 2yb'
loop_
_atom_site_label
_atom_site_fract_x
_atom_site_fract_y
_atom_site_fract_z
_atom_site_occupancy
Pm1 0.066 0.250 0.168 1
Pm2 0.181 0.750 0.502 1
Pm3 0.340 0.250 0.916 1
Pr1 0.455 0.250 0.308 1
Se1 0.019 0.250 0.386 1
Se2 0.103 0.250 0.938 1
Se3 0.245 0.750 0.276 1
Se4 0.308 0.750 0.750 1
Se5 0.386 0.250 0.536 1
Se6 0.416 0.750 0.098 1

---

2.
# PmPr2Se3, relaxed, DFT PBE-GGA
# Spin magnetization, μB per formula unit: 0.000
# Calculated total energy, eV per atom: -5.95
# Uncorrected formation energy, kJ per mole of atoms: -176.3
# Offset from the most stable computed form, kJ/mol of atoms: 1.1
data_PmPr2Se3
_cell_length_a 4.1904
_cell_length_b 4.1904
_cell_length_c 21.3622
_cell_angle_alpha 90.00
_cell_angle_beta 90.00
_cell_angle_gamma 120.00
_symmetry_space_group_name_H-M 'P 63/m m c'
_symmetry_Int_Tables_number 194
_symmetry_space_group_name_Hall '-P 6c 2c'
loop_
_atom_site_label
_atom_site_fract_x
_atom_site_fract_y
_atom_site_fract_z
_atom_site_occupancy
Pm1 0.0000 0.0000 0.2500 1
Pr1 0.3333 0.6667 0.0830 1
Se1 0.0000 0.0000 0.0000 1
Se2 0.3333 0.6667 0.6672 1

---

3.
# Pm2PrSe, relaxed, DFT PBE-GGA
# Spin magnetization, μB per formula unit: 0.364
# Calculated total energy, eV per atom: -5.26
# Uncorrected formation energy, kJ per mole of atoms: -78.7
data_Pm2PrSe
_cell_length_a 3.9235
_cell_length_b 3.9235
_cell_length_c 29.1156
_cell_angle_alpha 90.00
_cell_angle_beta 90.00
_cell_angle_gamma 120.00
_symmetry_space_group_name_H-M 'R 3 m'
_symmetry_Int_Tables_number 160
_symmetry_space_group_name_Hall 'R 3 -2"'
loop_
_atom_site_label
_atom_site_fract_x
_atom_site_fract_y
_atom_site_fract_z
_atom_site_occupancy
Pm1 0.0000 0.0000 0.0000 1
Pm2 0.0000 0.0000 0.2047 1
Pr1 0.0000 0.0000 0.4353 1
Se1 0.0000 0.0000 0.6025 1

---

4.
# Pm3Pr4Se8, relaxed, DFT PBE-GGA
# Spin magnetization, μB per formula unit: 0.000
# Calculated total energy, eV per atom: -5.96
# Uncorrected formation energy, kJ per mole of atoms: -180.6
data_Pm3Pr4Se8
_cell_length_a 11.935
_cell_length_b 11.938
_cell_length_c 8.433
_cell_angle_alpha 90.00
_cell_angle_beta 134.94
_cell_angle_gamma 90.00
_symmetry_space_group_name_H-M 'C 1 2/m 1'
_symmetry_Int_Tables_number 12
_symmetry_space_group_name_Hall '-C 2y'
loop_
_atom_site_label
_atom_site_fract_x
_atom_site_fract_y
_atom_site_fract_z
_atom_site_occupancy
Pm1 0.000 0.000 0.000 1
Pm2 0.250 0.250 0.500 1
Pr1 0.000 0.000 0.500 1
Pr2 0.000 0.500 0.000 1
Pr3 0.250 0.250 0.000 1
Se1 0.000 0.248 0.000 1
Se2 0.000 0.254 0.500 1
Se3 0.248 0.500 0.504 1
Se4 0.248 0.500 0.992 1

---

5.
# PmPr2Se, relaxed, DFT PBE-GGA
# Spin magnetization, μB per formula unit: 0.692
# Calculated total energy, eV per atom: -5.03
# Uncorrected formation energy, kJ per mole of atoms: -55.8
# Offset from the most stable computed form, kJ/mol of atoms: 20.9
data_PmPr2Se
_cell_length_a 3.8968
_cell_length_b 3.8968
_cell_length_c 31.7605
_cell_angle_alpha 90.00
_cell_angle_beta 90.00
_cell_angle_gamma 120.00
_symmetry_space_group_name_H-M 'R -3 m'
_symmetry_Int_Tables_number 166
_symmetry_space_group_name_Hall '-R 3 2"'
loop_
_atom_site_label
_atom_site_fract_x
_atom_site_fract_y
_atom_site_fract_z
_atom_site_occupancy
Pm1 0.0000 0.0000 0.0000 1
Pr1 0.0000 0.0000 0.1081 1
Se1 0.0000 0.0000 0.5000 1

---

6.
# PmPr4Se7, relaxed, DFT PBE-GGA
# Spin magnetization, μB per formula unit: 0.000
# Calculated total energy, eV per atom: -5.90
# Uncorrected formation energy, kJ per mole of atoms: -181.6
data_PmPr4Se7
_cell_length_a 13.982
_cell_length_b 4.136
_cell_length_c 12.574
_cell_angle_alpha 90.00
_cell_angle_beta 104.83
_cell_angle_gamma 90.00
_symmetry_space_group_name_H-M 'C 1 m 1'
_symmetry_Int_Tables_number 8
_symmetry_space_group_name_Hall 'C -2y'
loop_
_atom_site_label
_atom_site_fract_x
_atom_site_fract_y
_atom_site_fract_z
_atom_site_occupancy
Pm1 0.000 0.000 0.000 1
Pr1 0.113 0.000 0.421 1
Pr2 0.225 0.000 0.845 1
Pr3 0.313 0.500 0.232 1
Pr4 0.414 0.000 0.613 1
Se1 0.072 0.000 0.638 1
Se2 0.110 0.500 0.923 1
Se3 0.153 0.000 0.204 1
Se4 0.273 0.500 0.472 1
Se5 0.354 0.500 0.775 1
Se6 0.375 0.000 0.071 1
Se7 0.452 0.000 0.372 1

---

7.
# Pm5PrSe6, relaxed, DFT PBE-GGA
# Spin magnetization, μB per formula unit: 0.000
# Calculated total energy, eV per atom: -5.96
# Uncorrected formation energy, kJ per mole of atoms: -177.4
data_Pm5PrSe6
_cell_length_a 7.286
_cell_length_b 12.656
_cell_length_c 7.278
_cell_angle_alpha 90.00
_cell_angle_beta 109.63
_cell_angle_gamma 90.00
_symmetry_space_group_name_H-M 'C 1 2/m 1'
_symmetry_Int_Tables_number 12
_symmetry_space_group_name_Hall '-C 2y'
loop_
_atom_site_label
_atom_site_fract_x
_atom_site_fract_y
_atom_site_fract_z
_atom_site_occupancy
Pm1 0.000 0.000 0.000 1
Pm2 0.000 0.166 0.500 1
Pm3 0.000 0.336 0.000 1
Pr1 0.000 0.500 0.500 1
Se1 0.247 0.000 0.751 1
Se2 0.247 0.169 0.247 1

---

8.
# Pm4PrSe7, relaxed, DFT PBE-GGA
# Spin magnetization, μB per formula unit: 0.000
# Calculated total energy, eV per atom: -5.89
# Uncorrected formation energy, kJ per mole of atoms: -181.2
data_Pm4PrSe7
_cell_length_a 13.864
_cell_length_b 4.091
_cell_length_c 12.495
_cell_angle_alpha 90.00
_cell_angle_beta 104.58
_cell_angle_gamma 90.00
_symmetry_space_group_name_H-M 'C 1 m 1'
_symmetry_Int_Tables_number 8
_symmetry_space_group_name_Hall 'C -2y'
loop_
_atom_site_label
_atom_site_fract_x
_atom_site_fract_y
_atom_site_fract_z
_atom_site_occupancy
Pm1 0.000 0.000 0.000 1
Pm2 0.087 0.500 0.392 1
Pm3 0.187 0.000 0.768 1
Pm4 0.387 0.500 0.581 1
Pr1 0.275 0.500 0.159 1
Se1 0.047 0.500 0.630 1
Se2 0.127 0.500 0.928 1
Se3 0.143 0.000 0.230 1
Se4 0.228 0.000 0.530 1
Se5 0.345 0.500 0.795 1
Se6 0.389 0.000 0.078 1
Se7 0.430 0.500 0.367 1

---

Please write out number 3 again, unchanged.
# Pm2PrSe, relaxed, DFT PBE-GGA
# Spin magnetization, μB per formula unit: 0.364
# Calculated total energy, eV per atom: -5.26
# Uncorrected formation energy, kJ per mole of atoms: -78.7
data_Pm2PrSe
_cell_length_a 3.9235
_cell_length_b 3.9235
_cell_length_c 29.1156
_cell_angle_alpha 90.00
_cell_angle_beta 90.00
_cell_angle_gamma 120.00
_symmetry_space_group_name_H-M 'R 3 m'
_symmetry_Int_Tables_number 160
_symmetry_space_group_name_Hall 'R 3 -2"'
loop_
_atom_site_label
_atom_site_fract_x
_atom_site_fract_y
_atom_site_fract_z
_atom_site_occupancy
Pm1 0.0000 0.0000 0.0000 1
Pm2 0.0000 0.0000 0.2047 1
Pr1 0.0000 0.0000 0.4353 1
Se1 0.0000 0.0000 0.6025 1

---

Question: The lowest uncorrected formation energy belongs to which entry?
Answer: Pm3PrSe6